Compound: LaEr3
Source: the Alexandria database
Functional: PBE-GGA
Structure: optimized geometry

```
LaEr3
1.0
-1.830 5.699 3.116
1.830 -5.699 3.116
1.830 5.699 -3.116
La Er
1 3
direct
0.000 0.000 0.000
0.409 0.655 0.754
0.493 0.993 0.500
0.902 0.655 0.246
```

**Energy of formation from the pure elements**: 27.3 meV/atom
**Total energy**: -4.63 eV/atom
**Space group**: Imm2, No. 44
**Magnetization**: 0.00 μB/atom